Below is an optimized crystal structure of LaYTe, with properties calculated at the PBE level.

Computed properties:
- Calculated volume: 33.89 Å³ per atom
- Relative energy among the computed polymorphs: 0.017 eV per atom

Cell and atoms, written as POSCAR:
```
LaYTe
1.0
-0.692 -1.840 3.374
-0.035 -4.280 -4.601
9.378 9.876 7.309
La Y Te
2 2 2
Direct
0.216 0.432 0.836 La
0.784 0.568 0.164 La
0.235 0.469 0.588 Y
0.765 0.531 0.412 Y
0.034 0.068 0.142 Te
0.966 0.932 0.858 Te
```


Below is an optimized crystal structure of MgZn2Si, with properties calculated at the PBE level.

Computed properties:
- Calculated volume: 16.36 Å³ per atom
- Relative energy among the computed polymorphs: 0.018 eV per atom

Cell and atoms, written as POSCAR:
```
MgZn2Si
1.0
-4.071 -2.773 0.538
1.230 -4.789 0.330
1.626 4.028 2.385
Si Zn Mg
1 2 1
Direct
0.250 0.750 0.500 Si
0.500 0.500 0.000 Zn
0.000 0.000 0.000 Zn
0.750 0.250 0.500 Mg
```


Below is an optimized crystal structure of ScBe, with properties calculated at the PBE level.

Computed properties:
- Calculated volume: 26.04 Å³ per atom
- Energy relative to the elements: 160 kJ/mol of formula units

Cell and atoms, written as POSCAR:
```
ScBe
1.0
-7.095 0.610 2.250
1.241 -5.113 5.300
1.973 5.409 4.757
Sc Be
8 8
Direct
0.705 0.705 0.295 Sc
0.295 0.295 0.295 Sc
0.795 0.205 0.205 Sc
0.295 0.705 0.705 Sc
0.205 0.205 0.795 Sc
0.705 0.295 0.705 Sc
0.205 0.795 0.205 Sc
0.795 0.795 0.795 Sc
0.900 0.100 0.900 Be
0.900 0.900 0.100 Be
0.600 0.600 0.600 Be
0.600 0.400 0.400 Be
0.100 0.100 0.100 Be
0.400 0.600 0.400 Be
0.100 0.900 0.900 Be
0.400 0.400 0.600 Be
```


Below is an optimized crystal structure of LiCu2Pd5, with properties calculated at the PBE level.

Computed properties:
- Calculated volume: 14.30 Å³ per atom
- Relative energy among the computed polymorphs: 0.000 eV per atom
- Energy relative to the elements: -145 kJ/mol of formula units

Cell and atoms, written as POSCAR:
```
LiCu2Pd5
1.0
0.350 -2.331 -4.862
4.651 -2.159 1.704
-4.449 -0.880 2.937
Pd Li Cu
5 1 2
Direct
0.278 0.278 0.500 Pd
0.778 0.778 0.500 Pd
0.278 0.278 0.000 Pd
0.278 0.778 0.000 Pd
0.778 0.278 0.000 Pd
0.778 0.778 0.000 Li
0.278 0.778 0.500 Cu
0.778 0.278 0.500 Cu
```


Below is an optimized crystal structure of GeH4I3N, with properties calculated at the PBE level.

Computed properties:
- Calculated volume: 22.64 Å³ per atom
- Relative energy among the computed polymorphs: 0.009 eV per atom

Cell and atoms, written as POSCAR:
```
GeH4I3N
1.0
-2.268 -2.168 3.204
3.813 -9.268 -3.573
13.407 1.473 10.484
H N I Ge
16 4 12 4
Direct
0.250 0.496 0.876 H
0.250 0.996 0.624 H
0.935 0.089 0.306 H
0.750 0.504 0.124 H
0.565 0.089 0.306 H
0.750 0.004 0.376 H
0.435 0.911 0.694 H
0.435 0.411 0.806 H
0.250 0.544 0.782 H
0.565 0.589 0.194 H
0.750 0.456 0.218 H
0.750 0.956 0.282 H
0.935 0.589 0.194 H
0.065 0.911 0.694 H
0.250 0.044 0.718 H
0.065 0.411 0.806 H
0.250 0.466 0.818 N
0.750 0.034 0.318 N
0.250 0.966 0.682 N
0.750 0.534 0.182 N
0.750 0.830 0.491 I
0.750 0.470 0.397 I
0.250 0.670 0.991 I
0.250 0.030 0.897 I
0.250 0.170 0.509 I
0.250 0.753 0.276 I
0.250 0.253 0.224 I
0.750 0.970 0.103 I
0.750 0.247 0.724 I
0.250 0.530 0.603 I
0.750 0.747 0.776 I
0.750 0.330 0.009 I
0.750 0.845 0.937 Ge
0.250 0.155 0.063 Ge
0.750 0.345 0.563 Ge
0.250 0.655 0.437 Ge
```


Below is an optimized crystal structure of LaTe2As, with properties calculated at the PBE level.

Computed properties:
- Calculated volume: 27.68 Å³ per atom
- Electronic total energy: -4.72 eV per atom

Cell and atoms, written as POSCAR:
```
LaTe2As
1.0
-5.549 2.621 1.612
-6.186 -1.363 -0.368
-1.482 -1.691 3.879
Te As La
2 1 1
Direct
0.000 0.000 0.001 Te
0.749 0.749 0.750 Te
0.499 0.499 0.501 As
0.251 0.251 0.248 La
```


Below is an optimized crystal structure of LiYErOs, with properties calculated at the PBE level.

Computed properties:
- Calculated volume: 20.58 Å³ per atom
- Energy relative to the elements: -93 kJ/mol of formula units

Cell and atoms, written as POSCAR:
```
LiYErOs
1.0
4.883 0.000 0.000
2.442 4.229 0.000
2.442 1.410 3.987
Y Os Er Li
1 1 1 1
Direct
0.750 0.750 0.750 Y
0.500 0.500 0.500 Os
0.250 0.250 0.250 Er
0.000 0.000 0.000 Li
```


Below is an optimized crystal structure of Pr2Nd6Zn, with properties calculated at the PBE level.

Computed properties:
- Calculated volume: 33.23 Å³ per atom
- Relative energy among the computed polymorphs: 0.048 eV per atom
- Energy relative to the elements: 8 kJ/mol of formula units

Cell and atoms, written as POSCAR:
```
Pr2Nd6Zn
1.0
-1.850 -1.462 5.102
-8.534 -3.438 -4.079
4.394 -9.550 -1.144
Nd Zn Pr
12 2 4
Direct
0.500 0.136 0.601 Nd
0.500 0.194 0.925 Nd
0.500 0.489 0.695 Nd
0.500 0.511 0.305 Nd
0.000 0.636 0.899 Nd
0.500 0.806 0.075 Nd
0.000 0.989 0.805 Nd
0.000 0.011 0.195 Nd
0.000 0.306 0.425 Nd
0.000 0.694 0.575 Nd
0.500 0.864 0.399 Nd
0.000 0.364 0.101 Nd
0.500 0.500 0.000 Zn
0.000 0.000 0.500 Zn
0.500 0.817 0.753 Pr
0.000 0.683 0.253 Pr
0.500 0.183 0.247 Pr
0.000 0.317 0.747 Pr
```


Below is an optimized crystal structure of Nd4HoEr, with properties calculated at the PBE level.

Computed properties:
- Calculated volume: 33.68 Å³ per atom
- Relative energy among the computed polymorphs: 0.000 eV per atom
- Energy relative to the elements: 34 kJ/mol of formula units

Cell and atoms, written as POSCAR:
```
Nd4HoEr
1.0
5.159 0.000 -2.491
-0.254 12.192 -0.525
-0.111 2.257 6.358
Ho Er Nd
2 2 8
Direct
0.253 0.250 0.000 Ho
0.747 0.750 0.000 Ho
0.500 0.000 0.500 Er
0.000 0.500 0.500 Er
0.014 0.784 0.568 Nd
0.797 0.049 0.099 Nd
0.302 0.549 0.099 Nd
0.554 0.284 0.568 Nd
0.986 0.216 0.432 Nd
0.446 0.716 0.432 Nd
0.698 0.451 0.901 Nd
0.203 0.951 0.901 Nd
```


Below is an optimized crystal structure of Fe4SiNi3, with properties calculated at the PBE level.

Computed properties:
- Calculated volume: 11.22 Å³ per atom
- Electronic total energy: -7.23 eV per atom

Cell and atoms, written as POSCAR:
```
Fe4SiNi3
1.0
3.521 -0.051 -0.223
0.000 3.486 -0.796
-1.304 -0.138 7.427
Ni Fe Si
3 4 1
Direct
0.122 0.122 0.244 Ni
0.500 0.000 0.000 Ni
0.878 0.878 0.756 Ni
0.377 0.377 0.754 Fe
0.752 0.252 0.503 Fe
0.623 0.623 0.246 Fe
0.248 0.748 0.497 Fe
0.000 0.500 0.000 Si
```


Below is an optimized crystal structure of ZnAs2Se, with properties calculated at the PBE level.

Computed properties:
- Calculated volume: 25.98 Å³ per atom
- Relative energy among the computed polymorphs: 0.349 eV per atom

Cell and atoms, written as POSCAR:
```
ZnAs2Se
1.0
-1.284 -4.855 2.758
5.498 -0.606 1.494
1.030 0.564 7.423
Se Zn As
2 2 4
Direct
0.750 0.250 0.500 Se
0.000 0.000 0.000 Se
0.500 0.500 0.000 Zn
0.250 0.750 0.500 Zn
0.375 0.399 0.750 As
0.149 0.625 0.250 As
0.875 0.851 0.750 As
0.601 0.125 0.250 As
```


Below is an optimized crystal structure of Y2Cd2Au, with properties calculated at the PBE level.

Computed properties:
- Calculated volume: 28.04 Å³ per atom
- Relative energy among the computed polymorphs: 0.230 eV per atom
- Energy relative to the elements: -92 kJ/mol of formula units

Cell and atoms, written as POSCAR:
```
Y2Cd2Au
1.0
7.757 0.000 0.000
0.000 7.757 0.000
0.000 0.000 4.660
Cd Au Y
4 2 4
Direct
0.861 0.361 0.500 Cd
0.639 0.861 0.500 Cd
0.361 0.139 0.500 Cd
0.139 0.639 0.500 Cd
0.500 0.500 0.000 Au
0.000 0.000 0.000 Au
0.339 0.839 0.000 Y
0.161 0.339 0.000 Y
0.839 0.661 0.000 Y
0.661 0.161 0.000 Y
```